The following is a GGA+U calculation of a relaxed Ac2PaCoO8 crystal, from Alexandria.

Output
VASP energy, eV per cell: -88.97
Spin magnetization, μB/f.u.: 2.01
V, Å³ per cell: 164

a = 5.6566 Å, b = 5.6566 Å, c = 5.9082 Å
α = 90.00°, β = 90.00°, γ = 120.00°
Each line ends with the local moment (μB).
Atoms (fractional coordinates):
Ac (0.6667, 0.3333, 0.1221)  0.13
O (0.8492, 0.6984, 0.7968)  0.06
O (0.6984, 0.8492, 0.2032)  0.06
O (0.1508, 0.8492, 0.2032)  0.06
O (0.3016, 0.1508, 0.7968)  0.06
Pa (0.0000, 0.0000, 0.5000)  0.00
Ac (0.3333, 0.6667, 0.8779)  0.13
O (0.3333, 0.6667, 0.5195)  0.56
Co (0.0000, 0.0000, 0.0000)  0.16
O (0.6667, 0.3333, 0.4805)  0.56
O (0.1508, 0.3016, 0.2032)  0.06
O (0.8492, 0.1508, 0.7968)  0.06